# CrSb2IO

Crystalline CrSb2IO at its relaxed geometry (PBE with a Hubbard U, Alexandria).

a b c (Å): 4.4621 4.4621 6.9398
angles (deg): 90.00 90.00 90.00
Last column: nearest neighbours and their distance in Å.
Positions (direct):
Cr 0.0000 0.0000 0.0000  4 I 3.16
Sb 0.0000 0.5000 0.5000  2 O 2.23
Sb 0.5000 0.0000 0.5000  2 O 2.23
I 0.5000 0.5000 0.0000  4 Cr 3.16, 2 O 3.47
O 0.5000 0.5000 0.5000  4 Sb 2.23

Results
The value obtained for the total energy is -4.344 eV per atom. The relative energy among the computed polymorphs is 0.0 meV per atom. The density comes out at 5269 kg/m3. For the total magnetization, the calculation gives 4.4 μB/f.u.